First-principles (PBE) data for a geometry-optimized PPbSeN2 structure, as listed in Alexandria.

Uncorrected formation energy (eV per atom): 2.129
Energy (eV/atom): -3.722
Spin magnetization (Bohr magnetons per cell): 1.40
Relative energy among the computed polymorphs (meV/atom): 1109

a = 4.463 Å, b = 4.463 Å, c = 6.040 Å
α = 90.00°, β = 90.00°, γ = 90.00°
Space group P4/mmm (No. 123)
Symmetry-distinct sites (fractional):
P1 0.000 0.000 0.000 [1 per cell]
Pb1 0.500 0.500 0.500 [1 per cell]
Se1 0.500 0.500 0.000 [1 per cell]
N1 0.000 0.500 0.500 [2 per cell]